No. 1
Entry from Alexandria via LeMat-Bulk: an optimized crystal structure of TbGaPd (PBE-GGA).

Results
Total energy ... -5.1715 eV per atom
SG ... No. 62
Energy relative to the elements ... -0.888 eV/atom

```
TbGaPd
1.0
4.4892 0.0000 0.0000
0.0000 6.9522 0.0000
0.0000 0.0000 7.6824
Tb Ga Pd
4 4 4
direct
0.2500 0.9824 0.3005
0.7500 0.5176 0.8005
0.7500 0.0176 0.6995
0.2500 0.4824 0.1995
0.7500 0.1764 0.0762
0.7500 0.6764 0.4238
0.2500 0.8236 0.9238
0.2500 0.3236 0.5762
0.7500 0.2806 0.4046
0.2500 0.2194 0.9046
0.7500 0.7806 0.0954
0.2500 0.7194 0.5954
```

No. 2
Entry from Alexandria via LeMat-Bulk: an optimized crystal structure of YAl4IrRh2 (PBE-GGA).

Results
Total energy ... -6.4930 eV per atom
SG ... No. 166
Energy relative to the elements ... -0.868 eV/atom

```
YAl4IrRh2
1.0
-3.3957 -2.4755 0.2328
0.4554 -4.1684 0.3608
-0.9362 -1.4590 8.8716
Y Al Rh Ir
1 4 2 1
direct
0.0000 0.0000 0.0000
0.5968 0.5968 0.2097
0.1325 0.1325 0.6024
0.4032 0.4032 0.7903
0.8675 0.8675 0.3976
0.7645 0.7645 0.7065
0.2355 0.2355 0.2935
0.5000 0.5000 0.5000
```

No. 3
Entry from Alexandria via LeMat-Bulk: an optimized crystal structure of SnGeAs (PBE-GGA).

Results
Total energy ... -4.2564 eV per atom
SG ... No. 42
Energy relative to the elements ... 0.167 eV/atom

```
SnGeAs
1.0
3.3909 0.7734 0.0000
-0.7678 3.3921 0.0000
-1.3115 -2.0828 5.4844
Sn As Ge
1 1 1
direct
0.3332 0.3332 0.6664
0.6415 0.6415 0.2830
0.0253 0.0253 0.0506
```

No. 4
Entry from Alexandria via LeMat-Bulk: an optimized crystal structure of CaYTa2 (PBE-GGA).

Results
Total energy ... -6.7913 eV per atom
SG ... No. 122
Energy relative to the elements ... 1.251 eV/atom

```
CaYTa2
1.0
8.2505 0.0000 0.0000
0.0000 8.2505 0.0000
4.1252 4.1252 2.9035
Ca Ta Y
2 4 2
direct
0.2500 0.7500 0.5000
0.5000 0.5000 0.0000
0.3750 0.3758 0.7500
0.6242 0.1250 0.2500
0.8750 0.8742 0.7500
0.1258 0.6250 0.2500
0.7500 0.2500 0.5000
0.0000 0.0000 0.0000
```

No. 5
Entry from Alexandria via LeMat-Bulk: an optimized crystal structure of LiNdEuY (PBE-GGA).

Results
Total energy ... -5.6443 eV per atom
SG ... No. 216
Energy relative to the elements ... 0.211 eV/atom

```
LiNdEuY
1.0
5.6518 0.0000 0.0000
2.8259 4.8946 0.0000
2.8259 1.6315 4.6147
Y Nd Eu Li
1 1 1 1
direct
0.7500 0.7500 0.7500
0.2500 0.2500 0.2500
0.0000 0.0000 0.0000
0.5000 0.5000 0.5000
```

No. 6
Entry from Alexandria via LeMat-Bulk: an optimized crystal structure of AcGa3Mo (PBE-GGA).

Results
Total energy ... -5.0822 eV per atom
SG ... No. 221
Energy relative to the elements ... -0.278 eV/atom

```
AcGa3Mo
1.0
-1.8178 3.5394 2.9107
-4.1651 -2.5819 0.5384
1.9110 -2.2606 3.9423
Mo Ga Ac
1 3 1
direct
0.0000 0.0000 0.0000
0.0000 0.0000 0.5000
0.0000 0.5000 0.0000
0.5000 0.0000 0.0000
0.5000 0.5000 0.5000
```